# 1
Computed, not measured: crystalline CsBa2Zn2F9 at its relaxed geometry at the PBEsol level of DFT.

Cell: 5.8868 5.8868 20.9785 Å, 90.00 90.00 120.00°
Space group R3m (No. 160, hexagonal axes)
One atom of each set of equivalent atoms:
Cs 0.0000 0.0000 0.0000
Ba 0.0000 0.0000 0.5748
Ba 0.0000 0.0000 0.7834
Zn 0.0000 0.0000 0.1758
Zn 0.0000 0.0000 0.3877
F 0.0074 0.5037 0.5532
F 0.1731 0.3462 0.3457
F 0.1744 0.3488 0.1210

ΔE_f (raw) = -3052 meV/atom

***

# 2
Computed, not measured: crystalline CsBaGa2Te at its relaxed geometry at the PBEsol level of DFT.

Cell: 6.121 6.121 6.461 Å, 90.00 90.00 90.00°
Space group P4/mmm (No. 123)
One atom of each set of equivalent atoms:
Cs 0.000 0.000 0.000
Ba 0.500 0.500 0.500
Ga 0.000 0.500 0.500
Te 0.500 0.500 0.000

ΔE_f (raw) = 112 meV/atom

***

# 3
Computed, not measured: crystalline CsBaTl2Ga at its relaxed geometry at the PBEsol level of DFT.

Cell: 6.110 6.110 6.406 Å, 90.00 90.00 90.00°
Space group P4/mmm (No. 123)
One atom of each set of equivalent atoms:
Cs 0.000 0.000 0.000
Ba 0.000 0.000 0.500
Tl 0.000 0.500 0.000
Ga 0.500 0.500 0.500

VASP energy = -7.31 eV per formula unit

***

# 4
Computed, not measured: crystalline CsBaNa2H at its relaxed geometry at the PBEsol level of DFT.

Cell: 7.664 7.664 4.811 Å, 90.00 90.00 90.00°
Space group P4/mmm (No. 123)
One atom of each set of equivalent atoms:
Cs 0.000 0.000 0.000
Ba 0.500 0.500 0.500
Na 0.000 0.500 0.500
H 0.500 0.500 0.000

VASP energy = -8.47 eV per formula unit

***

# 5
Computed, not measured: crystalline CsBaSiHO4 at its relaxed geometry at the PBEsol level of DFT.

Cell: 5.999 8.161 6.037 Å, 90.00 117.65 90.00°
Space group P2_1 (No. 4)
One atom of each set of equivalent atoms:
Cs 0.218 0.000 0.352
Ba 0.492 0.240 0.991
Si 0.120 0.480 0.323
H 0.035 0.722 0.485
O 0.184 0.984 0.860
O 0.188 0.655 0.501
O 0.195 0.331 0.529
O 0.283 0.481 0.168

VASP energy = -51.99 eV per formula unit

***

# 6
Computed, not measured: crystalline CsBaHfIr2 at its relaxed geometry at the PBEsol level of DFT.

Cell: 5.058 5.058 5.665 Å, 90.00 90.00 90.00°
Space group P4/mmm (No. 123)
One atom of each set of equivalent atoms:
Cs 0.000 0.000 0.000
Ba 0.000 0.000 0.500
Hf 0.500 0.500 0.500
Ir 0.000 0.500 0.000

VASP energy = -21.68 eV per formula unit

***

# 7
Computed, not measured: crystalline CsBaHfPb2 at its relaxed geometry at the PBEsol level of DFT.

Cell: 5.682 5.682 5.885 Å, 90.00 90.00 90.00°
Space group P4/mmm (No. 123)
One atom of each set of equivalent atoms:
Cs 0.000 0.000 0.000
Ba 0.500 0.500 0.000
Hf 0.000 0.000 0.500
Pb 0.000 0.500 0.500

VASP energy = -20.40 eV per formula unit

***

# 8
Computed, not measured: crystalline CsBaHg3 at its relaxed geometry at the PBEsol level of DFT.

Cell: 6.186 6.186 6.186 Å, 90.00 90.00 90.00°
Space group Pm-3m (No. 221)
One atom of each set of equivalent atoms:
Cs 0.000 0.000 0.000
Ba 0.500 0.500 0.500
Hg 0.000 0.000 0.500

VASP energy = -3.93 eV per formula unit

***

# 9
Computed, not measured: crystalline CsBa2HgSe at its relaxed geometry at the PBEsol level of DFT.

Cell: 6.185 6.185 7.328 Å, 90.00 90.00 90.00°
Space group P4/mmm (No. 123)
One atom of each set of equivalent atoms:
Cs 0.000 0.000 0.000
Ba 0.000 0.500 0.500
Hg 0.500 0.500 0.000
Se 0.500 0.500 0.500

ΔE_f (raw) = -516 meV/atom

***

# 10
Computed, not measured: crystalline CsBaI3 at its relaxed geometry at the PBEsol level of DFT.

Cell: 9.059 5.261 20.163 Å, 90.00 90.00 90.00°
Space group Pnma (No. 62)
One atom of each set of equivalent atoms:
Cs 0.133 0.250 0.199
Ba 0.237 0.750 0.457
I 0.010 0.250 0.407
I 0.132 0.750 0.053
I 0.169 0.250 0.794

ΔE_f (raw) = -1688 meV/atom

***

# 11
Computed, not measured: crystalline CsBa2InIr at its relaxed geometry at the PBEsol level of DFT.

Cell: 6.346 6.346 4.999 Å, 90.00 90.00 90.00°
Space group P4/mmm (No. 123)
One atom of each set of equivalent atoms:
Cs 0.000 0.000 0.000
Ba 0.000 0.500 0.000
In 0.500 0.500 0.500
Ir 0.000 0.000 0.500

VASP energy = -13.25 eV per formula unit

***

# 12
Computed, not measured: crystalline CsBaIn2P3O12 at its relaxed geometry at the PBEsol level of DFT.

Cell: 10.292 10.292 10.292 Å, 90.00 90.00 90.00°
Space group P2_13 (No. 198)
One atom of each set of equivalent atoms:
Cs 0.044 0.044 0.044
Ba 0.190 0.310 0.690
In 0.096 0.904 0.404
In 0.172 0.672 0.828
P 0.011 0.215 0.377
O 0.005 0.080 0.734
O 0.007 0.073 0.330
O 0.049 0.799 0.231
O 0.085 0.850 0.760

ΔE_f (raw) = -2295 meV/atom

***

# 13
Computed, not measured: crystalline CsBaIr3 at its relaxed geometry at the PBEsol level of DFT.

Cell: 5.267 5.267 5.267 Å, 90.00 90.00 90.00°
Space group Pm-3m (No. 221)
One atom of each set of equivalent atoms:
Cs 0.000 0.000 0.000
Ba 0.500 0.500 0.500
Ir 0.000 0.500 0.500

VASP energy = -20.18 eV per formula unit

***

# 14
Computed, not measured: crystalline CsKBa2 at its relaxed geometry at the PBEsol level of DFT.

Cell: 10.327 10.327 10.327 Å, 90.00 90.00 90.00°
Space group Fm-3m (No. 225)
One atom of each set of equivalent atoms:
Cs 0.000 0.000 0.000
K 0.000 0.000 0.500
Ba 0.250 0.250 0.250

VASP energy = -5.56 eV per formula unit

***

# 15
Computed, not measured: crystalline CsKBa3 at its relaxed geometry at the PBEsol level of DFT.

Cell: 7.298 7.298 7.298 Å, 90.00 90.00 90.00°
Space group Pm-3m (No. 221)
One atom of each set of equivalent atoms:
Cs 0.000 0.000 0.000
K 0.500 0.500 0.500
Ba 0.000 0.500 0.500

VASP energy = -6.18 eV per formula unit

***

# 16
Computed, not measured: crystalline Cs2KBaTe at its relaxed geometry at the PBEsol level of DFT.

Cell: 6.750 6.750 6.682 Å, 90.00 90.00 90.00°
Space group P4/mmm (No. 123)
One atom of each set of equivalent atoms:
Cs 0.000 0.500 0.000
K 0.000 0.000 0.500
Ba 0.000 0.000 0.000
Te 0.500 0.500 0.500

ΔE_f (raw) = 432 meV/atom

***

# 17
Computed, not measured: crystalline CsBa3Li at its relaxed geometry at the PBEsol level of DFT.

Cell: 6.502 6.502 6.502 Å, 90.00 90.00 90.00°
Space group Pm-3m (No. 221)
One atom of each set of equivalent atoms:
Cs 0.000 0.000 0.000
Ba 0.000 0.000 0.500
Li 0.500 0.500 0.500

VASP energy = -6.11 eV per formula unit

***

# 18
Computed, not measured: crystalline CsBaYMg2 at its relaxed geometry at the PBEsol level of DFT.

Cell: 6.400 6.400 6.163 Å, 90.00 90.00 90.00°
Space group P4/mmm (No. 123)
One atom of each set of equivalent atoms:
Cs 0.000 0.000 0.000
Ba 0.500 0.500 0.500
Y 0.500 0.500 0.000
Mg 0.000 0.500 0.500

VASP energy = -9.11 eV per formula unit

***

# 19
Computed, not measured: crystalline CsBa3N at its relaxed geometry at the PBEsol level of DFT.

Cell: 5.874 5.874 5.874 Å, 90.00 90.00 90.00°
Space group Pm-3m (No. 221)
One atom of each set of equivalent atoms:
Cs 0.000 0.000 0.000
Ba 0.000 0.500 0.500
N 0.500 0.500 0.500

ΔE_f (raw) = 10 meV/atom

***

# 20
Computed, not measured: crystalline CsBaN2O at its relaxed geometry at the PBEsol level of DFT.

Cell: 4.416 4.416 4.554 Å, 90.00 90.00 90.00°
Space group P4/mmm (No. 123)
One atom of each set of equivalent atoms:
Cs 0.000 0.000 0.000
Ba 0.500 0.500 0.500
N 0.000 0.500 0.000
O 0.000 0.000 0.500

ΔE_f (raw) = 816 meV/atom

***

# 21
Computed, not measured: crystalline CsBaS2N at its relaxed geometry at the PBEsol level of DFT.

Cell: 5.475 5.475 4.584 Å, 90.00 90.00 90.00°
Space group P4/mmm (No. 123)
One atom of each set of equivalent atoms:
Cs 0.000 0.000 0.000
Ba 0.500 0.500 0.500
S 0.000 0.500 0.000
N 0.000 0.000 0.500

ΔE_f (raw) = 475 meV/atom

***

# 22
Computed, not measured: crystalline CsBaTeN2 at its relaxed geometry at the PBEsol level of DFT.

Cell: 5.367 5.367 6.723 Å, 90.00 90.00 90.00°
Space group P4/mmm (No. 123)
One atom of each set of equivalent atoms:
Cs 0.000 0.000 0.000
Ba 0.500 0.500 0.500
Te 0.500 0.500 0.000
N 0.000 0.500 0.500

ΔE_f (raw) = 856 meV/atom

***

# 23
Computed, not measured: crystalline CsBaNa2 at its relaxed geometry at the PBEsol level of DFT.

Cell: 9.622 9.622 9.622 Å, 90.00 90.00 90.00°
Space group Fm-3m (No. 225)
One atom of each set of equivalent atoms:
Cs 0.000 0.000 0.000
Ba 0.000 0.000 0.500
Na 0.250 0.250 0.250

VASP energy = -5.57 eV per formula unit